1.
This record from the Alexandria database describes a relaxed structure of Re2Cl. The functional is PBE.

Lattice parameters (Å, degrees): 5.762 5.762 5.762 90.00 90.00 90.00
Fractional positions:
Re1 0.123 0.123 0.123
Re2 0.123 0.377 0.623
Re3 0.377 0.623 0.123
Re4 0.377 0.877 0.623
Re5 0.623 0.123 0.377
Re6 0.623 0.377 0.877
Re7 0.877 0.623 0.377
Re8 0.877 0.877 0.877
Cl1 0.000 0.000 0.500
Cl2 0.000 0.500 0.000
Cl3 0.500 0.000 0.000
Cl4 0.500 0.500 0.500

The space group is Pa-3, No. 205. As for the magnetic moment: 0.00 μB/atom. The value obtained for the density of states at the Fermi level is 1.1403 states/eV/atom. The total energy comes out at -6.977 eV/atom. The calculation puts the uncorrected formation energy at 1.9377 eV per atom.

2.
This record from the Alexandria database describes a relaxed structure of Ga2AsPd5. The functional is PBE.

Lattice parameters (Å, degrees): 5.750 10.668 4.052 90.00 90.00 90.00
Fractional positions:
Ga1 0.108 0.156 0.000
Ga2 0.392 0.656 0.000
Ga3 0.608 0.344 0.000
Ga4 0.892 0.844 0.000
As1 0.000 0.500 0.500
As2 0.500 0.000 0.500
Pd1 0.000 0.000 0.500
Pd2 0.131 0.726 0.500
Pd3 0.177 0.399 0.000
Pd4 0.323 0.899 0.000
Pd5 0.369 0.226 0.500
Pd6 0.500 0.500 0.500
Pd7 0.631 0.774 0.500
Pd8 0.677 0.101 0.000
Pd9 0.823 0.601 0.000
Pd10 0.869 0.274 0.500

The space group is Pbam, No. 55. As for the magnetic moment: 0.00 μB/atom. The value obtained for the density of states at the Fermi level is 0.5628 states/eV/atom. The total energy comes out at -5.085 eV/atom. The calculation puts the formation energy from the elements at -4.01 eV/f.u.

3.
This record from the Alexandria database describes a relaxed structure of CaLaCd3. The functional is PBE.

Lattice parameters (Å, degrees): 15.168 15.168 5.130 90.00 90.00 166.32
Fractional positions:
Ca1 0.212 0.788 0.750
Ca2 0.788 0.212 0.250
La1 0.074 0.926 0.250
La2 0.926 0.074 0.750
Cd1 0.325 0.675 0.750
Cd2 0.378 0.622 0.250
Cd3 0.476 0.524 0.250
Cd4 0.524 0.476 0.750
Cd5 0.622 0.378 0.750
Cd6 0.675 0.325 0.250

The space group is Cmcm, No. 63. As for the magnetic moment: 0.02 μB/atom. The value obtained for the density of states at the Fermi level is 0.7193 states/eV/atom. The total energy comes out at -2.278 eV/atom. The calculation puts the formation energy from the elements at -1.72 eV/f.u.

4.
This record from the Alexandria database describes a relaxed structure of Nb2WC. The functional is PBE.

Lattice parameters (Å, degrees): 7.540 7.540 4.408 90.00 90.00 90.00
Fractional positions:
Nb1 0.130 0.250 0.125
Nb2 0.250 0.630 0.375
Nb3 0.250 0.870 0.875
Nb4 0.370 0.250 0.625
Nb5 0.630 0.750 0.625
Nb6 0.750 0.130 0.875
Nb7 0.750 0.370 0.375
Nb8 0.870 0.750 0.125
W1 0.000 0.000 0.500
W2 0.000 0.500 0.750
W3 0.500 0.000 0.250
W4 0.500 0.500 0.000
C1 0.000 0.000 0.000
C2 0.000 0.500 0.250
C3 0.500 0.000 0.750
C4 0.500 0.500 0.500

The space group is I-42d, No. 122. As for the magnetic moment: 0.00 μB/atom. The value obtained for the density of states at the Fermi level is 0.1650 states/eV/atom. The total energy comes out at -10.335 eV/atom. The calculation puts the formation energy from the elements at 0.98 eV/f.u.

5.
This record from the Alexandria database describes a relaxed structure of Pr3SmAl8. The functional is PBE.

Lattice parameters (Å, degrees): 9.875 9.875 9.875 33.51 33.51 33.51
Fractional positions:
Pr1 0.000 0.000 0.000
Pr2 0.125 0.125 0.125
Pr3 0.500 0.500 0.500
Sm1 0.625 0.625 0.625
Al1 0.061 0.562 0.562
Al2 0.063 0.063 0.563
Al3 0.063 0.563 0.063
Al4 0.312 0.312 0.312
Al5 0.562 0.061 0.562
Al6 0.562 0.562 0.061
Al7 0.563 0.063 0.063
Al8 0.813 0.813 0.813

The space group is R3m, No. 160. As for the magnetic moment: 0.00 μB/atom. The value obtained for the density of states at the Fermi level is 0.8098 states/eV/atom. The total energy comes out at -4.576 eV/atom. The calculation puts the formation energy from the elements at -5.92 eV/f.u.

6.
This record from the Alexandria database describes a relaxed structure of HfBeCr2Pb. The functional is PBE.

Lattice parameters (Å, degrees): 5.095 5.095 5.433 90.00 90.00 90.00
Fractional positions:
Hf1 0.000 0.000 0.000
Be1 0.500 0.500 0.000
Cr1 0.000 0.500 0.500
Cr2 0.500 0.000 0.500
Pb1 0.000 0.000 0.500

The space group is P4/mmm, No. 123. As for the magnetic moment: 1.62 μB/atom. The value obtained for the density of states at the Fermi level is 0.8279 states/eV/atom. The total energy comes out at -5.442 eV/atom. The calculation puts the formation energy from the elements at 9.42 eV/f.u.

7.
This record from the Alexandria database describes a relaxed structure of MnNbCoHSe. The functional is PBE.

Lattice parameters (Å, degrees): 2.854 4.030 5.273 90.00 90.08 90.00
Fractional positions:
Mn1 0.000 0.000 0.000
Nb1 0.503 0.500 0.751
Co1 0.002 0.500 0.284
H1 0.500 0.000 0.820
Se1 0.501 0.000 0.356

The space group is Pm, No. 6. As for the magnetic moment: 0.24 μB/atom. The value obtained for the density of states at the Fermi level is 0.5785 states/eV/atom. The total energy comes out at -6.562 eV/atom.

8.
This record from the Alexandria database describes a relaxed structure of K2In2As2Se. The functional is PBE.

Lattice parameters (Å, degrees): 13.253 3.977 8.404 90.00 108.90 90.00
Fractional positions:
K1 0.008 0.000 0.295
K2 0.492 0.500 0.705
K3 0.508 0.500 0.295
K4 0.992 0.000 0.705
In1 0.217 0.500 0.135
In2 0.283 0.000 0.865
In3 0.717 0.000 0.135
In4 0.783 0.500 0.865
As1 0.217 0.500 0.572
As2 0.283 0.000 0.428
As3 0.717 0.000 0.572
As4 0.783 0.500 0.428
Se1 0.000 0.500 0.000
Se2 0.500 0.000 0.000

The space group is C2/m, No. 12. As for the magnetic moment: 0.00 μB/atom. The value obtained for the density of states at the Fermi level is 0.2462 states/eV/atom. The total energy comes out at -3.324 eV/atom. The calculation puts the uncorrected formation energy at -0.4018 eV per atom.

9.
This record from the Alexandria database describes a relaxed structure of SnPd4Au3. The functional is PBE.

Lattice parameters (Å, degrees): 5.117 7.412 8.022 90.00 90.00 90.00
Fractional positions:
Sn1 0.000 0.000 0.000
Sn2 0.500 0.500 0.500
Pd1 0.000 0.183 0.287
Pd2 0.000 0.817 0.287
Pd3 0.249 0.500 0.210
Pd4 0.251 0.000 0.710
Pd5 0.500 0.317 0.787
Pd6 0.500 0.683 0.787
Pd7 0.749 0.000 0.710
Pd8 0.751 0.500 0.210
Au1 0.000 0.311 0.605
Au2 0.000 0.500 0.906
Au3 0.000 0.689 0.605
Au4 0.500 0.000 0.406
Au5 0.500 0.189 0.105
Au6 0.500 0.811 0.105

The space group is Imm2, No. 44. As for the magnetic moment: 0.00 μB/atom. The value obtained for the density of states at the Fermi level is 0.6830 states/eV/atom. The total energy comes out at -4.289 eV/atom. The calculation puts the formation energy from the elements at 0.29 eV/f.u.

10.
This record from the Alexandria database describes a relaxed structure of BaSiPb2. The functional is PBE.

Lattice parameters (Å, degrees): 6.783 12.116 3.672 90.00 122.19 90.00
Fractional positions:
Ba1 0.000 0.000 0.000
Ba2 0.500 0.500 0.000
Si1 0.000 0.500 0.000
Si2 0.500 0.000 0.000
Pb1 0.250 0.250 0.500
Pb2 0.250 0.750 0.500
Pb3 0.750 0.250 0.500
Pb4 0.750 0.750 0.500

The space group is C2/m, No. 12. As for the magnetic moment: 0.00 μB/atom. The value obtained for the density of states at the Fermi level is 0.5986 states/eV/atom. The total energy comes out at -3.582 eV/atom. The calculation puts the uncorrected formation energy at 0.1084 eV per atom.

11.
This record from the Alexandria database describes a relaxed structure of Li4Np3RuS8. The functional is PBE.

Lattice parameters (Å, degrees): 7.613 7.613 7.613 58.51 58.51 58.51
Fractional positions:
Li1 0.000 0.000 0.000
Li2 0.000 0.500 0.500
Li3 0.500 0.000 0.500
Li4 0.500 0.500 0.000
Np1 0.000 0.000 0.500
Np2 0.000 0.500 0.000
Np3 0.500 0.000 0.000
Ru1 0.500 0.500 0.500
S1 0.254 0.254 0.254
S2 0.263 0.263 0.728
S3 0.263 0.728 0.263
S4 0.272 0.737 0.737
S5 0.728 0.263 0.263
S6 0.737 0.272 0.737
S7 0.737 0.737 0.272
S8 0.746 0.746 0.746

The space group is R-3m, No. 166. As for the magnetic moment: 0.69 μB/atom. The value obtained for the density of states at the Fermi level is 1.3814 states/eV/atom. The total energy comes out at -6.737 eV/atom. The calculation puts the uncorrected formation energy at -1.1887 eV per atom.

12.
This record from the Alexandria database describes a relaxed structure of IrRh3Cl. The functional is PBE.

Lattice parameters (Å, degrees): 4.767 4.767 4.767 90.00 90.00 90.00
Fractional positions:
Ir1 0.000 0.000 0.000
Rh1 0.000 0.000 0.500
Rh2 0.000 0.500 0.000
Rh3 0.500 0.000 0.000
Cl1 0.500 0.500 0.500

The space group is Pm-3m, No. 221. As for the magnetic moment: 0.00 μB/atom. The value obtained for the density of states at the Fermi level is 2.0980 states/eV/atom. The total energy comes out at -5.184 eV/atom. The calculation puts the uncorrected formation energy at 1.3688 eV per atom.

13.
This record from the Alexandria database describes a relaxed structure of PdRhPbO4. The functional is PBE.

Lattice parameters (Å, degrees): 6.897 6.897 6.897 128.52 125.91 77.93
Fractional positions:
Pd1 0.500 0.000 0.000
Pd2 0.500 0.500 0.500
Rh1 0.000 0.000 0.000
Rh2 0.500 0.000 0.500
Pb1 0.093 0.343 0.750
Pb2 0.907 0.657 0.250
O1 0.233 0.190 0.043
O2 0.235 0.198 0.463
O3 0.235 0.772 0.037
O4 0.352 0.810 0.543
O5 0.648 0.190 0.457
O6 0.765 0.228 0.963
O7 0.765 0.802 0.537
O8 0.767 0.810 0.957

The space group is Imma, No. 74. As for the magnetic moment: 0.00 μB/atom. The value obtained for the density of states at the Fermi level is 0.6241 states/eV/atom. The total energy comes out at -5.830 eV/atom. The calculation puts the uncorrected formation energy at -0.6752 eV per atom.

14.
This record from the Alexandria database describes a relaxed structure of NbAg. The functional is PBE.

Lattice parameters (Å, degrees): 2.725 14.559 5.460 90.00 90.00 90.00
Fractional positions:
Nb1 0.250 0.084 0.080
Nb2 0.250 0.416 0.080
Nb3 0.250 0.750 0.729
Nb4 0.750 0.250 0.271
Nb5 0.750 0.584 0.920
Nb6 0.750 0.916 0.920
Ag1 0.250 0.250 0.769
Ag2 0.250 0.583 0.415
Ag3 0.250 0.917 0.415
Ag4 0.750 0.083 0.585
Ag5 0.750 0.417 0.585
Ag6 0.750 0.750 0.231

The space group is Pmmn, No. 59. As for the magnetic moment: 0.00 μB/atom. The value obtained for the density of states at the Fermi level is 0.7853 states/eV/atom. The total energy comes out at -6.166 eV/atom. The calculation puts the formation energy from the elements at 0.59 eV/f.u.

15.
This record from the Alexandria database describes a relaxed structure of PmY3Sc2. The functional is PBE.

Lattice parameters (Å, degrees): 11.526 11.526 9.938 107.63 107.63 17.01
Fractional positions:
Pm1 0.183 0.183 0.047
Pm2 0.817 0.817 0.953
Y1 0.060 0.060 0.436
Y2 0.197 0.197 0.708
Y3 0.433 0.433 0.226
Y4 0.567 0.567 0.774
Y5 0.803 0.803 0.292
Y6 0.940 0.940 0.564
Sc1 0.192 0.192 0.374
Sc2 0.429 0.429 0.858
Sc3 0.571 0.571 0.142
Sc4 0.808 0.808 0.626

The space group is C2/m, No. 12. As for the magnetic moment: 0.00 μB/atom. The value obtained for the density of states at the Fermi level is 1.8102 states/eV/atom. The total energy comes out at -5.979 eV/atom. The calculation puts the formation energy from the elements at 0.93 eV/f.u.

16.
This record from the Alexandria database describes a relaxed structure of Ti2SnN2. The functional is PBE.

Lattice parameters (Å, degrees): 6.473 6.473 2.921 90.00 90.00 90.00
Fractional positions:
Ti1 0.139 0.361 0.000
Ti2 0.361 0.861 0.000
Ti3 0.639 0.139 0.000
Ti4 0.861 0.639 0.000
Sn1 0.000 0.000 0.500
Sn2 0.500 0.500 0.500
N1 0.136 0.636 0.500
N2 0.364 0.136 0.500
N3 0.636 0.864 0.500
N4 0.864 0.364 0.500

The space group is P4/mbm, No. 127. As for the magnetic moment: 0.00 μB/atom. The value obtained for the density of states at the Fermi level is 0.5970 states/eV/atom. The total energy comes out at -7.447 eV/atom. The calculation puts the uncorrected formation energy at -0.1580 eV per atom.

17.
This record from the Alexandria database describes a relaxed structure of MnPOsS2. The functional is PBE.

Lattice parameters (Å, degrees): 4.824 4.824 4.401 90.00 90.00 90.00
Fractional positions:
Mn1 0.000 0.000 0.000
P1 0.500 0.500 0.000
Os1 0.500 0.500 0.500
S1 0.000 0.500 0.500
S2 0.500 0.000 0.500

The space group is P4/mmm, No. 123. As for the magnetic moment: 0.80 μB/atom. The value obtained for the density of states at the Fermi level is 0.9503 states/eV/atom. The total energy comes out at -6.082 eV/atom. The calculation puts the uncorrected formation energy at 0.7306 eV per atom.

18.
This record from the Alexandria database describes a relaxed structure of NaDySc4Se8. The functional is PBE.

Lattice parameters (Å, degrees): 8.203 8.203 8.203 58.82 58.82 58.82
Fractional positions:
Na1 0.000 0.000 0.000
Dy1 0.634 0.634 0.634
Sc1 0.112 0.635 0.635
Sc2 0.257 0.257 0.257
Sc3 0.635 0.112 0.635
Sc4 0.635 0.635 0.112
Se1 0.381 0.381 0.863
Se2 0.381 0.863 0.381
Se3 0.388 0.388 0.388
Se4 0.411 0.877 0.877
Se5 0.863 0.381 0.381
Se6 0.867 0.867 0.867
Se7 0.877 0.411 0.877
Se8 0.877 0.877 0.411

The space group is R3m, No. 160. As for the magnetic moment: 0.00 μB/atom. The value obtained for the density of states at the Fermi level is 0.0000 states/eV/atom. The total energy comes out at -5.849 eV/atom. The calculation puts the uncorrected formation energy at -1.6259 eV per atom.

19.
This record from the Alexandria database describes a relaxed structure of CaYTe2. The functional is PBE.

Lattice parameters (Å, degrees): 4.110 4.111 14.801 90.00 90.00 90.00
Fractional positions:
Ca1 0.000 0.000 0.000
Ca2 0.500 0.500 0.500
Y1 0.000 0.500 0.244
Y2 0.500 0.000 0.744
Te1 0.000 0.000 0.587
Te2 0.000 0.500 0.830
Te3 0.500 0.000 0.330
Te4 0.500 0.500 0.087

The space group is Imm2, No. 44. As for the magnetic moment: 0.21 μB/atom. The value obtained for the density of states at the Fermi level is 0.5687 states/eV/atom. The total energy comes out at -5.040 eV/atom. The calculation puts the uncorrected formation energy at -1.3526 eV per atom.

20.
This record from the Alexandria database describes a relaxed structure of MnZnNiAs. The functional is PBE.

Lattice parameters (Å, degrees): 9.026 2.852 4.940 90.00 119.53 90.00
Fractional positions:
Mn1 0.000 0.000 0.000
Mn2 0.500 0.500 0.000
Zn1 0.230 0.000 0.593
Zn2 0.730 0.500 0.593
Ni1 0.475 0.000 0.488
Ni2 0.975 0.500 0.488
As1 0.253 0.500 0.090
As2 0.753 0.000 0.090

The space group is Cm, No. 8. As for the magnetic moment: 0.78 μB/atom. The value obtained for the density of states at the Fermi level is 0.8062 states/eV/atom. The total energy comes out at -5.223 eV/atom. The calculation puts the formation energy from the elements at -0.02 eV/f.u.